(1)
A relaxed Ca5AcZn6 crystal, computed with PBE-GGA.

The structure in extended XYZ format:
```
12
Lattice="5.3025 0.0000 0.0000 0.0000 7.4332 0.0000 -2.6279 0.0000 7.8921" Properties=species:S:1:pos:R:3 pbc="T T T"
Ca 0.0000 0.0000 0.0000
Ca 0.0210 3.7166 5.2149
Ca 0.0230 0.0000 5.2882
Ca 2.6516 0.0000 2.6039
Ca 2.6536 3.7166 2.6772
Ac 0.0000 3.7166 0.0000
Zn -0.0087 1.8142 2.6799
Zn -0.0087 5.6190 2.6799
Zn 2.6513 1.8120 0.0000
Zn 2.6513 5.6212 0.0000
Zn 2.6833 1.8142 5.2123
Zn 2.6833 5.6190 5.2123
```

* ρ: 4.38 g/cm3
* V: 311.1 Å³/cell
* symmetry: P2/m (10)
* energy relative to the elements: -0.2424 eV/atom

***

(2)
A relaxed CaAc3Zn4 crystal, computed with PBE-GGA.

The structure in extended XYZ format:
```
8
Lattice="2.7349 1.5790 8.9231 -2.7349 1.5790 8.9231 0.0000 -3.1580 8.9231" Properties=species:S:1:pos:R:3 pbc="T T T"
Ca 0.0000 0.0000 0.0000
Ac 0.0000 0.0000 6.7602
Ac 0.0000 0.0000 13.3847
Ac 0.0000 0.0000 20.0092
Zn 0.0000 0.0000 3.3098
Zn 0.0000 0.0000 10.0239
Zn 0.0000 0.0000 16.7455
Zn 0.0000 0.0000 23.4595
```

* ρ: 7.06 g/cm3
* V: 231.2 Å³/cell
* symmetry: R-3m (166)
* energy relative to the elements: -0.2529 eV/atom

***

(3)
A relaxed CaAcZn crystal, computed with PBE-GGA.

The structure in extended XYZ format:
```
12
Lattice="0.0000 6.5827 6.9402 4.6992 0.0000 6.9402 4.6992 6.5827 0.0000" Properties=species:S:1:pos:R:3 pbc="T T T"
Ca 3.5244 4.9370 0.0644
Ca 5.8740 8.2284 3.5345
Ca 3.5244 4.9370 10.3458
Ca 5.8740 8.2284 13.8159
Ac 4.6992 3.2914 3.4701
Ac 2.3496 6.5827 3.4701
Ac 2.3496 3.2914 6.9402
Ac 4.6992 6.5827 6.9402
Zn 3.5244 0.8129 5.2051
Zn 5.8740 4.1043 8.6752
Zn 3.5244 9.0612 5.2051
Zn 5.8740 12.3526 8.6752
```

* ρ: 5.14 g/cm3
* V: 429.4 Å³/cell
* symmetry: Fddd (70)
* energy above the lowest structure with this stoichiometry: 0.158 eV per atom
* energy relative to the elements: 0.0096 eV/atom

***

(4)
A relaxed Ca2AcZn crystal, computed with PBE-GGA.

The structure in extended XYZ format:
```
4
Lattice="1.9672 1.1358 10.7860 -1.9672 1.1358 10.7860 0.0000 -2.2716 10.7860" Properties=species:S:1:pos:R:3 pbc="T T T"
Ca 0.0000 0.0000 0.0000
Ca 0.0000 0.0000 6.5721
Ac 0.0000 0.0000 24.8332
Zn 0.0000 0.0000 19.4796
```

* ρ: 4.28 g/cm3
* V: 144.6 Å³/cell
* symmetry: R3m (160)
* energy above the lowest structure with this stoichiometry: 0.107 eV per atom
* energy relative to the elements: -0.0222 eV/atom

***

(5)
A relaxed CaAc5Zn4 crystal, computed with PBE-GGA.

The structure in extended XYZ format:
```
10
Lattice="3.9297 0.0000 0.0000 0.0000 3.9297 0.0000 0.0000 0.0000 21.2088" Properties=species:S:1:pos:R:3 pbc="T T T"
Ca 0.0000 0.0000 0.0000
Ac 1.9649 1.9649 2.8854
Ac 1.9649 1.9649 6.6987
Ac 1.9649 1.9649 10.6044
Ac 1.9649 1.9649 14.5101
Ac 1.9649 1.9649 18.3234
Zn 0.0000 0.0000 4.7443
Zn 0.0000 0.0000 8.6349
Zn 0.0000 0.0000 12.5739
Zn 0.0000 0.0000 16.4644
```

* ρ: 7.28 g/cm3
* V: 327.5 Å³/cell
* symmetry: P4/mmm (123)
* energy relative to the elements: -0.1841 eV/atom

***

(6)
A relaxed Ca2AcZn crystal, computed with PBE-GGA.

The structure in extended XYZ format:
```
8
Lattice="-2.7227 2.7227 9.5931 2.7227 -2.7227 9.5931 2.7227 2.7227 -9.5931" Properties=species:S:1:pos:R:3 pbc="T T T"
Ca 2.7227 0.0000 0.0000
Ca 0.0000 0.0000 2.9584
Ca 0.0000 2.7227 0.0000
Ca 0.0000 0.0000 16.2278
Ac 0.0000 0.0000 6.5979
Ac 0.0000 0.0000 12.5883
Zn 2.7227 0.0000 4.7965
Zn 0.0000 2.7227 4.7965
```

* ρ: 4.35 g/cm3
* V: 284.5 Å³/cell
* symmetry: I4/mmm (139)
* energy above the lowest structure with this stoichiometry: 0.000 eV per atom
* energy relative to the elements: -0.1288 eV/atom

***

(7)
A relaxed CaAcZn crystal, computed with PBE-GGA.

The structure in extended XYZ format:
```
3
Lattice="5.3492 0.0000 0.0000 -2.6746 4.6325 0.0000 0.0000 0.0000 3.9959" Properties=species:S:1:pos:R:3 pbc="T T T"
Ca 0.0000 0.0000 0.0000
Ac 0.0000 3.0884 1.9992
Zn 2.6746 1.5442 0.0107
```

* ρ: 5.58 g/cm3
* V: 99.0 Å³/cell
* symmetry: P3m1 (156)
* energy above the lowest structure with this stoichiometry: 0.147 eV per atom
* energy relative to the elements: -0.0014 eV/atom

***

(8)
A relaxed Ca2AcZn crystal, computed with PBE-GGA.

The structure in extended XYZ format:
```
4
Lattice="3.7540 0.0000 0.0000 0.0000 3.7540 0.0000 0.0000 0.0000 9.7526" Properties=species:S:1:pos:R:3 pbc="T T T"
Ca 0.0000 0.0000 1.8132
Ca 0.0000 0.0000 7.9394
Ac 1.8770 1.8770 4.8763
Zn 1.8770 1.8770 0.0000
```

* ρ: 4.50 g/cm3
* V: 137.4 Å³/cell
* symmetry: P4/mmm (123)
* energy above the lowest structure with this stoichiometry: 0.058 eV per atom
* energy relative to the elements: -0.0708 eV/atom